No. 1
VASP calculation (GGA-PBE) on Cs2RbCdO after structural relaxation.

Cell: 8.2835 4.2845 8.2835 Å, 90.00 90.00 90.00°
Fractional coordinates of all 5 atoms:
Cd 0.0000 0.0000 0.0000
O 0.0000 0.5000 0.0000
Rb 0.5000 0.5000 0.5000
Cs 0.0000 0.0000 0.5000
Cs 0.5000 0.0000 0.0000

The polymorph energy (0 for the lowest one) comes out at 336 meV per atom. The energy relative to the elements, uncorrected comes out at -148 meV/atom.

***

No. 2
VASP calculation (GGA-PBE) on CrCdSe2 after structural relaxation.

Cell: 6.0004 6.0004 7.3479 Å, 65.90 65.90 90.00°
Fractional coordinates of all 8 atoms:
Cr 0.5000 0.5000 0.0000
Cr 0.2500 0.7500 0.5000
Se 0.1533 0.6250 0.2500
Se 0.5967 0.1250 0.2500
Se 0.3750 0.4033 0.7500
Se 0.8750 0.8467 0.7500
Cd 0.7500 0.2500 0.5000
Cd 0.0000 0.0000 0.0000

The energy relative to the elements, uncorrected comes out at -373 meV/atom.

***

No. 3
VASP calculation (GGA-PBE) on MnNiPbSe3 after structural relaxation.

Cell: 3.8159 7.6334 9.4673 Å, 109.97 90.00 90.00°
Fractional coordinates of all 12 atoms:
Se 0.2500 0.5559 0.8760
Se 0.7500 0.9252 0.1490
Se 0.2500 0.0748 0.8510
Se 0.7500 0.4441 0.1240
Se 0.7500 0.2436 0.5575
Se 0.2500 0.7564 0.4425
Pb 0.7500 0.7425 0.7233
Pb 0.2500 0.2575 0.2766
Mn 0.7500 0.2981 0.8339
Mn 0.2500 0.7019 0.1661
Ni 0.2500 0.0802 0.6014
Ni 0.7500 0.9198 0.3986

The energy relative to the elements, uncorrected comes out at -362 meV/atom.

***

No. 4
VASP calculation (GGA-PBE) on ErTm3Pd after structural relaxation.

Cell: 4.8942 4.8777 12.2504 Å, 78.49 101.52 90.00°
Fractional coordinates of all 10 atoms:
Er 0.5537 0.1961 0.1074
Er 0.4463 0.8039 0.8926
Pd 0.8745 0.8753 0.7490
Pd 0.1255 0.1247 0.2510
Tm 0.1966 0.5536 0.3932
Tm 0.8034 0.4464 0.6068
Tm 0.9461 0.3040 0.8922
Tm 0.0539 0.6960 0.1078
Tm 0.3036 0.9461 0.6072
Tm 0.6964 0.0539 0.3928

The polymorph energy (0 for the lowest one) comes out at 11 meV per atom. Its calculated formation energy is -0.266 eV/atom.

***

No. 5
VASP calculation (GGA-PBE) on La2Ho2Mg after structural relaxation.

Cell: 4.8899 7.2269 10.8744 Å, 119.89 102.99 90.00°
Fractional coordinates of all 10 atoms:
Ho 0.2051 0.0576 0.4102
Ho 0.7949 0.9424 0.5898
Ho 0.7949 0.4424 0.5898
Ho 0.2051 0.5576 0.4102
La 0.4052 0.8576 0.8098
La 0.5954 0.6424 0.1902
La 0.4046 0.3576 0.8098
La 0.5948 0.1424 0.1902
Mg 0.0000 0.2500 0.0000
Mg 0.0000 0.7500 0.0000

The polymorph energy (0 for the lowest one) comes out at 0 meV per atom. Its calculated formation energy is 0.010 eV/atom.

***

No. 6
VASP calculation (GGA-PBE) on CrHRu2Pt after structural relaxation.

Cell: 3.8622 3.8622 3.8831 Å, 90.00 90.00 90.00°
Fractional coordinates of all 5 atoms:
Pt 0.5000 0.5000 0.5000
Ru 0.0000 0.5000 0.0000
Ru 0.5000 0.0000 0.0000
H 0.0000 0.0000 0.0000
Cr 0.0000 0.0000 0.5000

As for the total energy: -7.57 eV per atom.

***

No. 7
VASP calculation (GGA-PBE) on LiTi2Co2 after structural relaxation.

Cell: 7.0203 7.0203 2.8266 Å, 90.00 90.00 90.00°
Fractional coordinates of all 10 atoms:
Ti 0.6542 0.8458 0.5000
Ti 0.1542 0.6542 0.5000
Ti 0.3458 0.1542 0.5000
Ti 0.8458 0.3458 0.5000
Li 0.5000 0.5000 0.0000
Li 0.0000 0.0000 0.0000
Co 0.3611 0.8611 0.0000
Co 0.1389 0.3611 0.0000
Co 0.6389 0.1389 0.0000
Co 0.8611 0.6389 0.0000

The polymorph energy (0 for the lowest one) comes out at 0 meV per atom. Its calculated formation energy is -0.183 eV/atom.